(1)
HoZrAl: relaxed, PBE.

Computed properties:
energy relative to the lowest polymorph listed for this composition = 1.9 meV/atom
crystal system = hexagonal
calculated formation energy = -0.2177 eV per atom

Unit cell a=7.4965 b=7.4965 c=4.4561 alpha=90.00 beta=90.00 gamma=120.00
Positions (direct):
1 Ho 0.0000 0.5807 0.0000
2 Ho 0.4193 0.4193 0.0000
3 Ho 0.5807 0.0000 0.0000
4 Zr 0.0000 0.2385 0.5000
5 Zr 0.2385 0.0000 0.5000
6 Zr 0.7615 0.7615 0.5000
7 Al 0.0000 0.0000 0.0000
8 Al 0.3333 0.6667 0.5000
9 Al 0.6667 0.3333 0.5000

***

(2)
Ho2ZrAl: relaxed, PBE.

Computed properties:
energy relative to the lowest polymorph listed for this composition = 13.1 meV/atom
crystal system = tetragonal
calculated formation energy = -0.1527 eV per atom

Unit cell a=3.4094 b=3.4094 c=8.6402 alpha=90.00 beta=90.00 gamma=90.00
Positions (direct):
1 Ho 0.0000 0.0000 0.2308
2 Ho 0.0000 0.0000 0.7692
3 Zr 0.5000 0.5000 0.5000
4 Al 0.5000 0.5000 0.0000

***

(3)
HoZrAl: relaxed, PBE.

Computed properties:
energy relative to the lowest polymorph listed for this composition = 249.9 meV/atom
crystal system = trigonal
calculated formation energy = 0.0304 eV per atom

Unit cell a=5.0282 b=5.0282 c=3.0280 alpha=90.00 beta=90.00 gamma=120.00
Positions (direct):
1 Ho 0.0000 0.0000 0.0000
2 Zr 0.3333 0.6667 0.9982
3 Al 0.6667 0.3333 0.4998

***

(4)
HoZr2Al: relaxed, PBE.

Computed properties:
energy relative to the lowest polymorph listed for this composition = 193.9 meV/atom
crystal system = trigonal
calculated formation energy = -0.0064 eV per atom

Unit cell a=10.3125 b=10.3125 c=10.3125 alpha=18.17 beta=18.17 gamma=18.17
Positions (direct):
1 Ho 0.0000 0.0000 0.0000
2 Zr 0.5776 0.5776 0.5776
3 Zr 0.7563 0.7563 0.7563
4 Al 0.1666 0.1666 0.1666

***

(5)
HoZrAl: relaxed, PBE.

Computed properties:
energy relative to the lowest polymorph listed for this composition = 0.0 meV/atom
crystal system = tetragonal
calculated formation energy = -0.2196 eV per atom

Unit cell a=6.9469 b=6.9469 c=6.9469 alpha=152.88 beta=152.88 gamma=38.73
Positions (direct):
1 Ho 0.0000 0.0000 0.0000
2 Zr 0.3113 0.3113 0.0000
3 Al 0.6658 0.6658 0.0000

***

(6)
AlI4: relaxed, PBE.

Computed properties:
energy relative to the lowest polymorph listed for this composition = 421.0 meV/atom
formation energy (no corrections) = -27 meV per atom
crystal system = cubic

Unit cell a=5.6334 b=5.6334 c=5.6334 alpha=90.00 beta=90.00 gamma=90.00
Positions (direct):
1 Al 0.0000 0.0000 0.0000
2 I 0.0000 0.0000 0.5000
3 I 0.0000 0.5000 0.0000
4 I 0.5000 0.0000 0.0000
5 I 0.5000 0.5000 0.5000

***

(7)
AlI: relaxed, PBE.

Computed properties:
formation energy (no corrections) = -173 meV per atom
crystal system = orthorhombic

Unit cell a=6.2804 b=6.4671 c=15.8663 alpha=90.00 beta=90.00 gamma=90.00
Positions (direct):
1 Al 0.0682 0.1352 0.1867
2 Al 0.1940 0.7568 0.1947
3 Al 0.3060 0.2432 0.6947
4 Al 0.4318 0.8648 0.6867
5 Al 0.5682 0.3648 0.8133
6 Al 0.6940 0.7432 0.8053
7 Al 0.8060 0.2568 0.3053
8 Al 0.9318 0.6352 0.3133
9 I 0.1265 0.7552 0.8144
10 I 0.1400 0.4503 0.0741
11 I 0.3600 0.5497 0.5741
12 I 0.3735 0.2448 0.3144
13 I 0.6265 0.7448 0.1856
14 I 0.6400 0.0497 0.9259
15 I 0.8600 0.9503 0.4259
16 I 0.8735 0.2552 0.6856

***

(8)
AlI: relaxed, PBE.

Computed properties:
formation energy (no corrections) = 56 meV per atom
crystal system = cubic

Unit cell a=4.6538 b=4.6538 c=4.6538 alpha=60.00 beta=60.00 gamma=60.00
Positions (direct):
1 Al 0.0000 0.0000 0.0000
2 I 0.5000 0.5000 0.5000